Density functional theory data (PBE) for a relaxed structure of HfFeCoSi.

Cell lengths 6.0491, 6.0491, 6.0491 Å; angles 90.00, 90.00, 90.00 degrees
Atoms (fractional coordinates):
Hf 0.0000 0.0000 0.0000
Hf 0.0000 0.5000 0.5000
Hf 0.5000 0.0000 0.5000
Hf 0.5000 0.5000 0.0000
Fe 0.2500 0.2500 0.7500
Fe 0.2500 0.7500 0.2500
Fe 0.7500 0.2500 0.2500
Fe 0.7500 0.7500 0.7500
Co 0.0000 0.0000 0.5000
Co 0.0000 0.5000 0.0000
Co 0.5000 0.0000 0.0000
Co 0.5000 0.5000 0.5000
Si 0.2500 0.2500 0.2500
Si 0.2500 0.7500 0.7500
Si 0.7500 0.2500 0.7500
Si 0.7500 0.7500 0.2500



Density functional theory data (PBE) for a relaxed structure of HfFeCoSi.

Cell lengths 6.0508, 6.0508, 6.0508 Å; angles 90.00, 90.00, 90.00 degrees
Atoms (fractional coordinates):
Hf 0.0000 0.0000 0.0000
Hf 0.0000 0.5000 0.5000
Hf 0.5000 0.0000 0.5000
Hf 0.5000 0.5000 0.0000
Fe 0.0000 0.0000 0.5000
Fe 0.0000 0.5000 0.0000
Fe 0.5000 0.0000 0.0000
Fe 0.5000 0.5000 0.5000
Co 0.2500 0.2500 0.7500
Co 0.2500 0.7500 0.2500
Co 0.7500 0.2500 0.2500
Co 0.7500 0.7500 0.7500
Si 0.2500 0.2500 0.2500
Si 0.2500 0.7500 0.7500
Si 0.7500 0.2500 0.7500
Si 0.7500 0.7500 0.2500



Density functional theory data (PBE) for a relaxed structure of HfTlFeCo.

Cell lengths 6.2606, 6.2606, 6.2606 Å; angles 90.00, 90.00, 90.00 degrees
Atoms (fractional coordinates):
Hf 0.0000 0.0000 0.0000
Hf 0.0000 0.5000 0.5000
Hf 0.5000 0.0000 0.5000
Hf 0.5000 0.5000 0.0000
Tl 0.0000 0.0000 0.5000
Tl 0.0000 0.5000 0.0000
Tl 0.5000 0.0000 0.0000
Tl 0.5000 0.5000 0.5000
Fe 0.2500 0.2500 0.2500
Fe 0.2500 0.7500 0.7500
Fe 0.7500 0.2500 0.7500
Fe 0.7500 0.7500 0.2500
Co 0.2500 0.2500 0.7500
Co 0.2500 0.7500 0.2500
Co 0.7500 0.2500 0.2500
Co 0.7500 0.7500 0.7500



Density functional theory data (PBE) for a relaxed structure of HfTlFeCo.

Cell lengths 6.4258, 6.4258, 6.4258 Å; angles 90.00, 90.00, 90.00 degrees
Atoms (fractional coordinates):
Hf 0.0000 0.0000 0.0000
Hf 0.0000 0.5000 0.5000
Hf 0.5000 0.0000 0.5000
Hf 0.5000 0.5000 0.0000
Tl 0.2500 0.2500 0.2500
Tl 0.2500 0.7500 0.7500
Tl 0.7500 0.2500 0.7500
Tl 0.7500 0.7500 0.2500
Fe 0.2500 0.2500 0.7500
Fe 0.2500 0.7500 0.2500
Fe 0.7500 0.2500 0.2500
Fe 0.7500 0.7500 0.7500
Co 0.0000 0.0000 0.5000
Co 0.0000 0.5000 0.0000
Co 0.5000 0.0000 0.0000
Co 0.5000 0.5000 0.5000



Density functional theory data (PBE) for a relaxed structure of HfTlFeCo.

Cell lengths 6.4394, 6.4394, 6.4394 Å; angles 90.00, 90.00, 90.00 degrees
Atoms (fractional coordinates):
Hf 0.0000 0.0000 0.0000
Hf 0.0000 0.5000 0.5000
Hf 0.5000 0.0000 0.5000
Hf 0.5000 0.5000 0.0000
Tl 0.2500 0.2500 0.2500
Tl 0.2500 0.7500 0.7500
Tl 0.7500 0.2500 0.7500
Tl 0.7500 0.7500 0.2500
Fe 0.0000 0.0000 0.5000
Fe 0.0000 0.5000 0.0000
Fe 0.5000 0.0000 0.0000
Fe 0.5000 0.5000 0.5000
Co 0.2500 0.2500 0.7500
Co 0.2500 0.7500 0.2500
Co 0.7500 0.2500 0.2500
Co 0.7500 0.7500 0.7500



Density functional theory data (PBE) for a relaxed structure of HfZnFeCo.

Cell lengths 6.1238, 6.1238, 6.1238 Å; angles 90.00, 90.00, 90.00 degrees
Atoms (fractional coordinates):
Hf 0.0000 0.0000 0.0000
Hf 0.0000 0.5000 0.5000
Hf 0.5000 0.0000 0.5000
Hf 0.5000 0.5000 0.0000
Zn 0.2500 0.2500 0.2500
Zn 0.2500 0.7500 0.7500
Zn 0.7500 0.2500 0.7500
Zn 0.7500 0.7500 0.2500
Fe 0.0000 0.0000 0.5000
Fe 0.0000 0.5000 0.0000
Fe 0.5000 0.0000 0.0000
Fe 0.5000 0.5000 0.5000
Co 0.2500 0.2500 0.7500
Co 0.2500 0.7500 0.2500
Co 0.7500 0.2500 0.2500
Co 0.7500 0.7500 0.7500

## Properties
- energy relative to the elements (eV per atom) = -0.027



Density functional theory data (PBE) for a relaxed structure of HfZnFeCo.

Cell lengths 6.1128, 6.1128, 6.1128 Å; angles 90.00, 90.00, 90.00 degrees
Atoms (fractional coordinates):
Hf 0.0000 0.0000 0.0000
Hf 0.0000 0.5000 0.5000
Hf 0.5000 0.0000 0.5000
Hf 0.5000 0.5000 0.0000
Zn 0.2500 0.2500 0.2500
Zn 0.2500 0.7500 0.7500
Zn 0.7500 0.2500 0.7500
Zn 0.7500 0.7500 0.2500
Fe 0.2500 0.2500 0.7500
Fe 0.2500 0.7500 0.2500
Fe 0.7500 0.2500 0.2500
Fe 0.7500 0.7500 0.7500
Co 0.0000 0.0000 0.5000
Co 0.0000 0.5000 0.0000
Co 0.5000 0.0000 0.0000
Co 0.5000 0.5000 0.5000

## Properties
- energy relative to the elements (eV per atom) = 0.007



Density functional theory data (PBE) for a relaxed structure of HfZnFeCo.

Cell lengths 6.0023, 6.0023, 6.0023 Å; angles 90.00, 90.00, 90.00 degrees
Atoms (fractional coordinates):
Hf 0.0000 0.0000 0.0000
Hf 0.0000 0.5000 0.5000
Hf 0.5000 0.0000 0.5000
Hf 0.5000 0.5000 0.0000
Zn 0.0000 0.0000 0.5000
Zn 0.0000 0.5000 0.0000
Zn 0.5000 0.0000 0.0000
Zn 0.5000 0.5000 0.5000
Fe 0.2500 0.2500 0.2500
Fe 0.2500 0.7500 0.7500
Fe 0.7500 0.2500 0.7500
Fe 0.7500 0.7500 0.2500
Co 0.2500 0.2500 0.7500
Co 0.2500 0.7500 0.2500
Co 0.7500 0.2500 0.2500
Co 0.7500 0.7500 0.7500

## Properties
- energy relative to the elements (eV per atom) = -0.160



Record order is preserved below.
E above lowest polymorph: 0.360 0.364 0.000 0.257 0.271 0.133 0.167 0.000 eV/atom